Record 1
VASP calculation (PBE-GGA) on crystalline La3MgOs at its relaxed geometry.

Computed properties:
* polymorph energy (0 for the lowest one): 4.215 eV per formula unit
* energy: -4.804 eV per atom
* crystal system: trigonal
* space group: R3m (160)

extended XYZ file:
```
5
Lattice="-5.369 -3.060 -1.102 -2.663 1.519 5.478 -3.070 5.005 -2.221" Properties=species:S:1:pos:R:3 pbc="T T T"
La -5.592 1.397 -1.425
La -4.222 3.713 1.905
La -5.386 -0.368 2.471
Os -9.705 3.028 1.884
Mg -7.013 2.188 1.362
```



Record 2
VASP calculation (PBE-GGA) on crystalline La2MgOs at its relaxed geometry.

Computed properties:
* energy: -5.591 eV per atom
* crystal system: tetragonal
* space group: P4/mmm (123)

extended XYZ file:
```
4
Lattice="-5.753 -5.257 -2.644 3.302 -0.539 3.912 -2.921 -0.787 2.357" Properties=species:S:1:pos:R:3 pbc="T T T"
La -4.337 -3.022 -0.144
La 0.000 0.000 0.000
Os -1.226 -2.898 0.634
Mg 0.190 -0.663 3.135
```



Record 3
VASP calculation (PBE-GGA) on crystalline La3MgOs at its relaxed geometry.

Computed properties:
* polymorph energy (0 for the lowest one): 4.332 eV per formula unit
* energy: -4.780 eV per atom
* crystal system: tetragonal
* space group: I-4m2 (119)

extended XYZ file:
```
10
Lattice="-5.406 2.109 -0.806 -1.705 -5.185 -2.130 -6.576 -5.069 9.548" Properties=species:S:1:pos:R:3 pbc="T T T"
Mg -5.919 -5.896 2.975
Mg 0.000 0.000 0.000
La -7.080 -8.092 5.017
La -3.785 -5.616 0.585
La -4.845 -3.045 3.234
La -6.184 -5.367 6.136
La -8.843 -5.100 3.378
La -6.626 -4.507 0.162
Os -8.071 -2.602 4.738
Os -7.467 -1.896 2.536
```



For the records above, the corresponding DFT formation energy values read 0.72, 0.08, 0.74 eV per atom.